The following is a PBE+U calculation of crystalline AgMo2RhO8 at its relaxed geometry, from Alexandria.

Computed properties:
total energy	-6.474	eV per atom
total moment	0.0	μB/f.u.

a = 5.778 Å, b = 5.778 Å, c = 6.557 Å
α = 90.00°, β = 90.00°, γ = 120.00°
Fractional coordinates of all 12 atoms:
Ag (0.000, 0.000, 0.000)
Mo (0.333, 0.667, 0.769)
Mo (0.667, 0.333, 0.231)
Rh (0.000, 0.000, 0.500)
O (0.160, 0.319, 0.687)
O (0.160, 0.840, 0.687)
O (0.319, 0.160, 0.313)
O (0.333, 0.667, 0.035)
O (0.667, 0.333, 0.965)
O (0.681, 0.840, 0.687)
O (0.840, 0.160, 0.313)
O (0.840, 0.681, 0.313)